Entry 1:
DFT (PBE) results for a relaxed Pr7Zn4Hg crystal.

Computed properties:
Formation energy from the elements (meV per atom): -133.7
ρ (Mg/m³): 7.0

Geometry as extended XYZ:
```
12
Lattice="-5.6732 -0.4948 1.5041 -3.2755 -7.6913 -3.3523 -1.1502 -5.4589 5.3985" Properties=species:S:1:pos:R:3 pbc="T T T"
Pr -7.4301 -7.6250 4.0644
Pr -2.0268 -3.8127 2.6335
Pr -2.8366 -0.2474 0.7520
Pr -5.4089 -4.0934 1.3170
Pr -8.0720 -9.8324 0.9167
Pr -4.6899 -9.5517 2.2332
Pr -2.6688 -6.0201 -0.5142
Zn -2.9199 -2.9609 -0.4548
Zn -5.3660 -7.3208 0.4170
Zn -4.7328 -6.3243 3.1332
Zn -7.1790 -10.6842 4.0050
Hg 0.0000 0.0000 0.0000
```

Entry 2:
DFT (PBE) results for a relaxed Pr6ZnHg crystal.

Computed properties:
Formation energy from the elements (meV per atom): -181.5
ρ (Mg/m³): 7.2

Geometry as extended XYZ:
```
8
Lattice="-2.6594 2.6594 9.0054 2.6594 -2.6594 9.0054 2.6594 2.6594 -9.0054" Properties=species:S:1:pos:R:3 pbc="T T T"
Pr 2.6594 0.0000 1.9208
Pr 0.0000 0.0000 13.5129
Pr 2.6594 0.0000 7.0846
Pr 0.0000 2.6594 7.0846
Pr 0.0000 2.6594 1.9208
Pr 0.0000 0.0000 4.4978
Zn 0.0000 0.0000 0.0000
Hg 0.0000 0.0000 9.0054
```

Entry 3:
DFT (PBE) results for a relaxed PrZnHg crystal.

Computed properties:
Formation energy from the elements (meV per atom): -398.8
ρ (Mg/m³): 9.2

Geometry as extended XYZ:
```
6
Lattice="-2.7962 -3.3836 1.8464 3.0603 -4.5032 2.5229 -1.0393 0.7559 5.9521" Properties=species:S:1:pos:R:3 pbc="T T T"
Zn 1.1260 -3.4980 7.5764
Zn -1.9010 -3.6329 2.7450
Pr 0.7240 -4.8631 4.4661
Pr -1.4991 -2.2679 5.8552
Hg 0.3144 -2.0138 2.9265
Hg -1.0895 -5.1171 7.3949
```

Entry 4:
DFT (PBE) results for a relaxed Pr2Zn2Hg crystal.

Computed properties:
Formation energy from the elements (meV per atom): -330.0
ρ (Mg/m³): 8.0

Geometry as extended XYZ:
```
10
Lattice="4.7055 0.0000 0.0000 2.3528 5.4706 -0.4037 2.3528 0.1456 9.8199" Properties=species:S:1:pos:R:3 pbc="T T T"
Zn 2.3528 1.7434 5.4033
Zn 2.3528 0.8040 1.0077
Zn 7.0583 4.8122 8.4085
Zn 7.0583 3.8728 4.0129
Hg 4.7055 0.7542 6.4022
Hg 4.7055 4.8620 3.0139
Pr 4.7055 1.5744 3.1701
Pr 4.7055 4.0418 6.2461
Pr 2.3528 3.8999 0.7396
Pr 7.0583 1.7163 8.6765
```

Entry 5:
DFT (PBE) results for a relaxed Pr2ZnHg2 crystal.

Computed properties:
Formation energy from the elements (meV per atom): -365.9
ρ (Mg/m³): 9.5
Relative energy among the computed polymorphs (eV/f.u.): 0.11

Geometry as extended XYZ:
```
10
Lattice="-3.9030 2.7394 -2.7964 -4.2818 -7.1697 -6.5111 -8.0786 -10.7641 -4.7330" Properties=species:S:1:pos:R:3 pbc="T T T"
Hg -9.3999 -12.9844 -7.7882
Hg -6.8634 -2.2100 -6.2524
Hg -5.1766 -2.6440 -3.5682
Hg -11.0867 -12.5504 -10.4723
Zn -6.2052 -7.3846 -6.7646
Zn -10.0582 -7.8099 -7.2759
Pr -12.6845 -15.3548 -11.0008
Pr -3.5789 0.1604 -3.0397
Pr -8.4532 -5.0200 -6.7751
Pr -7.8101 -10.1744 -7.2654
```

Entry 6:
DFT (PBE) results for a relaxed Pr6ZnHg3 crystal.

Computed properties:
Formation energy from the elements (meV per atom): -309.8
ρ (Mg/m³): 8.5

Geometry as extended XYZ:
```
20
Lattice="5.4339 0.0000 0.0000 0.0000 8.9506 -2.9579 0.0000 0.1480 12.0413" Properties=species:S:1:pos:R:3 pbc="T T T"
Pr 1.3585 1.1711 1.4429
Pr 1.3585 6.0129 6.1830
Pr 1.3585 4.3179 -0.2748
Pr 4.0754 4.7807 9.3582
Pr 4.0754 1.3529 7.6783
Pr 4.0754 6.8431 3.7831
Pr 1.3585 7.7457 1.4051
Pr 1.3585 1.0318 10.2011
Pr 1.3585 2.2555 5.3003
Pr 4.0754 8.0668 -1.1177
Pr 4.0754 7.9275 7.6405
Pr 4.0754 3.0858 2.9004
Hg 4.0754 2.0567 -0.3334
Hg 1.3585 4.7994 2.9858
Hg 4.0754 5.5795 0.8233
Hg 4.0754 4.2992 6.0976
Hg 1.3585 7.0419 9.4168
Hg 1.3585 3.5191 8.2601
Zn 4.0754 0.4736 4.6522
Zn 1.3585 8.6250 4.4312
```

Entry 7:
DFT (PBE) results for a relaxed Pr4Zn3Hg2 crystal.

Computed properties:
Formation energy from the elements (meV per atom): -308.1
ρ (Mg/m³): 8.2

Geometry as extended XYZ:
```
9
Lattice="-2.1365 3.0576 3.3743 -5.7431 -0.7291 0.7731 -0.0120 -6.7029 6.0660" Properties=species:S:1:pos:R:3 pbc="T T T"
Pr -4.9444 -2.6431 3.0131
Pr -2.3943 0.3102 1.9517
Pr -2.9472 -1.7313 7.2003
Pr -5.4974 -4.6845 8.2617
Zn 0.0000 0.0000 0.0000
Zn -5.7134 -2.4217 6.0745
Zn -2.1783 -1.9527 4.1389
Hg -4.3760 0.0346 4.6954
Hg -3.5156 -4.4090 5.5180
```

Entry 8:
DFT (PBE) results for a relaxed PrZn2Hg crystal.

Computed properties:
Formation energy from the elements (meV per atom): -207.0
ρ (Mg/m³): 8.5
Relative energy among the computed polymorphs (eV/f.u.): 0.33

Geometry as extended XYZ:
```
4
Lattice="4.4213 0.0000 0.0000 0.0000 4.5725 0.0000 0.0000 0.0000 4.5725" Properties=species:S:1:pos:R:3 pbc="T T T"
Hg 2.2106 0.0000 0.0000
Zn 0.0000 2.2863 0.0000
Zn 0.0000 0.0000 2.2863
Pr 2.2106 2.2863 2.2863
```